HfAlCuRe2 | PBEsol | relaxed

Cell: 4.714 4.714 4.945 Å, 90.00 90.00 90.00°
Space group P4/mmm (No. 123)
Symmetry-distinct sites (fractional):
Hf: 0.000 0.000 0.000 [1 per cell]
Al: 0.000 0.000 0.500 [1 per cell]
Cu: 0.500 0.500 0.500 [1 per cell]
Re: 0.000 0.500 0.000 [2 per cell]

## Properties
**Mass density**: 9.69 Mg/m³
**Size of the total moment**: 0.97 μB per formula unit
**E_form**: 2.40 eV per atom
**Uncorrected energy**: -33.61 eV for the cell shown

***

Hf2AlCuS | PBEsol | relaxed

Cell: 4.856 4.856 4.213 Å, 90.00 90.00 90.00°
Space group P4/mmm (No. 123)
Symmetry-distinct sites (fractional):
Hf: 0.000 0.500 0.000 [2 per cell]
Al: 0.000 0.000 0.500 [1 per cell]
Cu: 0.000 0.000 0.000 [1 per cell]
S: 0.500 0.500 0.500 [1 per cell]

## Properties
**Mass density**: 8.02 Mg/m³
**Size of the total moment**: 0.00 μB per formula unit
**ΔE_f (raw)**: 0.327 eV/atom
**Uncorrected energy**: -32.18 eV for the cell shown

***

HfScAl2Cu | PBEsol | relaxed

Cell: 4.832 4.832 4.397 Å, 90.00 90.00 90.00°
Space group P4/mmm (No. 123)
Symmetry-distinct sites (fractional):
Hf: 0.000 0.000 0.000 [1 per cell]
Sc: 0.500 0.500 0.500 [1 per cell]
Al: 0.000 0.500 0.500 [2 per cell]
Cu: 0.500 0.500 0.000 [1 per cell]

## Properties
**Mass density**: 5.52 Mg/m³
**Size of the total moment**: 0.00 μB per formula unit
**E_form**: 0.98 eV per atom
**Uncorrected energy**: -24.71 eV for the cell shown

***

SrHfAl2Cu | PBEsol | relaxed

Cell: 5.263 5.263 4.769 Å, 90.00 90.00 90.00°
Space group P4/mmm (No. 123)
Symmetry-distinct sites (fractional):
Sr: 0.000 0.000 0.000 [1 per cell]
Hf: 0.500 0.500 0.500 [1 per cell]
Al: 0.000 0.500 0.500 [2 per cell]
Cu: 0.500 0.500 0.000 [1 per cell]

## Properties
**Mass density**: 4.82 Mg/m³
**Size of the total moment**: 0.00 μB per formula unit
**E_form**: 0.51 eV per atom
**Uncorrected energy**: -22.32 eV for the cell shown